Entry 1:
Computed, not measured: an optimized crystal structure of Li2NiHg at the GGA-PBE level of DFT.

Properties
* energy relative to the elements: -0.30 eV/f.u.
* symmetry: P4/mmm, No. 123

The structure in extended XYZ format:
```
4
Lattice="3.2893 0.0000 0.0000 0.0000 3.2893 0.0000 0.0000 0.0000 5.4627" Properties=species:S:1:pos:R:3 pbc="T T T"
Li 0.0000 0.0000 2.5797
Li 0.0000 0.0000 0.1517
Ni 1.6447 1.6447 1.3657
Hg 1.6447 1.6447 4.0970
```

Entry 2:
Computed, not measured: an optimized crystal structure of Li2NiHg at the GGA-PBE level of DFT.

Properties
* energy relative to the elements: -0.55 eV/f.u.
* symmetry: F-43m, No. 216

The structure in extended XYZ format:
```
4
Lattice="4.3855 0.0000 0.0000 2.1928 3.7980 0.0000 2.1928 1.2660 3.5808" Properties=species:S:1:pos:R:3 pbc="T T T"
Hg 4.3855 2.5320 1.7904
Li 2.1928 1.2660 0.8952
Li 0.0000 0.0000 0.0000
Ni 6.5783 3.7980 2.6856
```

Entry 3:
Computed, not measured: an optimized crystal structure of Li12Ni3Hg5 at the GGA-PBE level of DFT.

Properties
* energy relative to the elements: 3.45 eV/f.u.
* symmetry: Ia-3d, No. 230

The structure in extended XYZ format:
```
80
Lattice="12.9912 0.0000 0.0000 -4.3304 12.2482 0.0000 -4.3304 -6.1241 10.6073" Properties=species:S:1:pos:R:3 pbc="T T T"
Li 2.6689 1.1186 3.5709
Li -4.3282 4.8251 9.7906
Li -2.6689 6.6530 8.0578
Li 6.9993 -0.5289 2.5494
Li -4.3326 9.2439 3.7703
Li 4.8341 5.5952 8.0578
Li 2.8317 5.4192 4.2875
Li 6.4978 3.0043 3.7703
Li 2.3302 4.7099 1.0161
Li 2.0002 1.4142 9.5912
Li -4.9969 3.3607 7.8531
Li -2.1674 -4.8251 9.7906
Li 4.3282 1.7053 6.0203
Li -3.6639 10.1896 1.5333
Li 0.5037 7.2427 7.0364
Li -0.1650 4.5371 0.7166
Li -0.5037 0.5289 2.5494
Li 4.9969 -0.7049 6.3197
Li -0.1650 7.5383 1.0161
Li 8.8258 5.9512 1.7327
Li 2.1630 7.8294 4.5870
Li -0.6665 6.8290 4.2875
Li -2.0002 -0.1729 8.8745
Li 3.8267 -1.1186 3.5709
Li 8.1571 0.5897 4.4869
Li 0.0022 4.4188 4.5870
Li 4.4954 1.5870 9.8906
Li 6.3306 6.2970 1.7327
Li -1.4987 -3.3607 7.8531
Li 1.6615 5.0055 7.0364
Li 9.3273 2.7634 2.7542
Li 5.8290 9.4848 2.7542
Li -4.4954 0.1729 8.8745
Li 6.4978 10.9492 0.8167
Li 2.3302 7.7111 0.7166
Li -3.8267 5.5344 6.1203
Li 7.9942 -4.0655 9.0739
Li 5.9919 6.7138 6.1203
Li 4.4954 -1.4142 9.5912
Li 2.0002 -1.5870 9.8906
Li 8.6630 -3.1198 6.8370
Li 8.6586 1.2990 0.8167
Li 5.8290 2.0586 1.5333
Li 1.4987 0.7049 6.3197
Li 2.1674 -1.7053 6.0203
Li -1.4987 4.0655 9.0739
Li -1.6615 -0.5897 4.4869
Li -2.1674 3.1198 6.8370
Ni -3.2478 -2.2965 9.2813
Ni 7.5782 8.4206 1.3259
Ni -5.4130 6.1241 7.9554
Ni -3.2478 2.2965 9.2813
Ni 5.4130 0.7655 3.9777
Ni -1.0826 5.3586 6.6295
Ni 7.5782 3.8276 1.3259
Ni 1.0826 -0.7655 3.9777
Ni 3.2478 6.8896 6.6295
Ni 3.2478 0.0000 7.9554
Ni 1.0826 6.1241 2.6518
Ni 9.7434 0.0000 2.6518
Hg -3.2478 6.8896 3.9777
Hg -4.3304 3.0621 5.3036
Hg -1.0826 3.0621 2.6518
Hg 1.0826 3.8276 9.2813
Hg -2.1652 6.1241 0.0000
Hg -1.0826 9.9517 1.3259
Hg 6.4956 0.0000 0.0000
Hg 5.4130 -3.8276 9.2813
Hg 3.2478 9.1862 2.6518
Hg 5.4130 5.3586 3.9777
Hg -1.0826 0.7655 6.6295
Hg 4.3304 -3.0621 5.3036
Hg 4.3304 6.1241 0.0000
Hg 0.0000 0.0000 0.0000
Hg 1.0826 -3.0621 7.9554
Hg 7.5782 -0.7655 6.6295
Hg 2.1652 3.0621 5.3036
Hg -2.1652 -3.0621 5.3036
Hg 5.4130 3.0621 7.9554
Hg 3.2478 2.2965 1.3259
```

Entry 4:
Computed, not measured: an optimized crystal structure of LiNiHg at the GGA-PBE level of DFT.

Properties
* energy relative to the elements: 0.37 eV/f.u.
* energy above the most stable polymorph in this dataset: 0.44 eV per formula unit
* symmetry: F-43m, No. 216

The structure in extended XYZ format:
```
3
Lattice="4.2506 0.0000 0.0000 2.1253 3.6811 0.0000 2.1253 1.2270 3.4706" Properties=species:S:1:pos:R:3 pbc="T T T"
Hg 0.0000 0.0000 0.0000
Li 4.2506 2.4541 1.7353
Ni 2.1253 1.2270 0.8676
```

Entry 5:
Computed, not measured: an optimized crystal structure of LiPaNiHg at the GGA-PBE level of DFT.

Properties
* energy relative to the elements: -0.15 eV/f.u.
* symmetry: F-43m, No. 216

The structure in extended XYZ format:
```
4
Lattice="4.6438 0.0000 0.0000 2.3219 4.0217 0.0000 2.3219 1.3406 3.7917" Properties=species:S:1:pos:R:3 pbc="T T T"
Li 0.0000 0.0000 0.0000
Hg 2.3219 1.3406 0.9479
Ni 4.6438 2.6811 1.8958
Pa 6.9657 4.0217 2.8438
```

Entry 6:
Computed, not measured: an optimized crystal structure of LiNiHgPb at the GGA-PBE level of DFT.

Properties
* energy relative to the elements: -0.24 eV/f.u.
* symmetry: F-43m, No. 216

The structure in extended XYZ format:
```
4
Lattice="-1.0255 1.9111 -4.1404 2.3881 -1.2649 -3.8136 -2.0723 -2.5679 -3.3103" Properties=species:S:1:pos:R:3 pbc="T T T"
Pb -0.3548 -0.9609 -5.6321
Ni -0.1774 -0.4804 -2.8161
Li -0.5322 -1.4413 -8.4482
Hg 0.0000 0.0000 0.0000
```

Entry 7:
Computed, not measured: an optimized crystal structure of LiNiHgPd at the GGA-PBE level of DFT.

Properties
* energy relative to the elements: -0.67 eV/f.u.
* symmetry: F-43m, No. 216

The structure in extended XYZ format:
```
4
Lattice="4.3672 0.0000 0.0000 2.1836 3.7821 0.0000 2.1836 1.2607 3.5658" Properties=species:S:1:pos:R:3 pbc="T T T"
Ni 2.1836 1.2607 0.8915
Li 6.5508 3.7821 2.6744
Hg 0.0000 0.0000 0.0000
Pd 4.3672 2.5214 1.7829
```

Entry 8:
Computed, not measured: an optimized crystal structure of RbLiNiHg2 at the GGA-PBE level of DFT.

Properties
* energy relative to the elements: -0.20 eV/f.u.
* symmetry: P4/mmm, No. 123

The structure in extended XYZ format:
```
5
Lattice="5.1990 0.0000 0.0000 0.0000 5.1990 0.0000 0.0000 0.0000 4.9645" Properties=species:S:1:pos:R:3 pbc="T T T"
Hg 2.5995 0.0000 0.0000
Hg 0.0000 2.5995 0.0000
Rb 2.5995 2.5995 2.4822
Ni 0.0000 0.0000 0.0000
Li 0.0000 0.0000 2.4822
```

Entry 9:
Computed, not measured: an optimized crystal structure of Li2NiHgS at the GGA-PBE level of DFT.

Properties
* formation energy without anion corrections: 0.23 eV per atom
* symmetry: P4/mmm, No. 123

The structure in extended XYZ format:
```
5
Lattice="-1.1392 3.2427 -3.0293 -4.2661 -2.1455 -0.6924 -1.8123 2.5148 3.3735" Properties=species:S:1:pos:R:3 pbc="T T T"
Li -0.9062 1.2574 1.6868
Li -0.5696 1.6214 -1.5146
Hg -2.1331 -1.0728 -0.3462
S -3.6088 1.8060 -0.1741
Ni 0.0000 0.0000 0.0000
```

Entry 10:
Computed, not measured: an optimized crystal structure of LiScNiHg at the GGA-PBE level of DFT.

Properties
* energy relative to the elements: -1.06 eV/f.u.
* symmetry: F-43m, No. 216

The structure in extended XYZ format:
```
4
Lattice="4.5123 0.0000 0.0000 2.2562 3.9078 0.0000 2.2562 1.3026 3.6843" Properties=species:S:1:pos:R:3 pbc="T T T"
Sc 4.5123 2.6052 1.8421
Hg 0.0000 0.0000 0.0000
Li 6.7685 3.9078 2.7632
Ni 2.2562 1.3026 0.9211
```

Entry 11:
Computed, not measured: an optimized crystal structure of LiNiSn2Hg at the GGA-PBE level of DFT.

Properties
* energy relative to the elements: -0.34 eV/f.u.
* symmetry: P4/mmm, No. 123

The structure in extended XYZ format:
```
5
Lattice="4.8813 0.0000 0.0000 0.0000 4.8813 0.0000 0.0000 0.0000 4.9153" Properties=species:S:1:pos:R:3 pbc="T T T"
Ni 0.0000 0.0000 0.0000
Li 0.0000 0.0000 2.4577
Hg 2.4406 2.4406 2.4577
Sn 2.4406 0.0000 0.0000
Sn 0.0000 2.4406 0.0000
```

Entry 12:
Computed, not measured: an optimized crystal structure of SrLiNiHg2 at the GGA-PBE level of DFT.

Properties
* energy relative to the elements: -0.92 eV/f.u.
* symmetry: P4/mmm, No. 123

The structure in extended XYZ format:
```
5
Lattice="-0.6846 -1.8952 4.6854 4.6661 -2.0539 -0.1490 1.7740 3.8970 1.8355" Properties=species:S:1:pos:R:3 pbc="T T T"
Ni 0.0000 0.0000 0.0000
Hg -0.3423 -0.9476 2.3427
Hg 2.3331 -1.0270 -0.0745
Sr 2.8778 -0.0260 3.1860
Li 0.8870 1.9485 0.9178
```

Entry 13:
Computed, not measured: an optimized crystal structure of Sr2LiNiHg at the GGA-PBE level of DFT.

Properties
* energy relative to the elements: -0.30 eV/f.u.
* energy above the most stable polymorph in this dataset: 0.03 eV per formula unit
* symmetry: P4/mmm, No. 123

The structure in extended XYZ format:
```
5
Lattice="5.7037 0.0000 0.0000 0.0000 5.7037 0.0000 0.0000 0.0000 4.7171" Properties=species:S:1:pos:R:3 pbc="T T T"
Sr 0.0000 2.8518 0.0000
Sr 2.8518 0.0000 0.0000
Ni 0.0000 0.0000 0.0000
Li 0.0000 0.0000 2.3585
Hg 2.8518 2.8518 2.3585
```

Entry 14:
Computed, not measured: an optimized crystal structure of Sr2LiNiHg at the GGA-PBE level of DFT.

Properties
* energy relative to the elements: -0.33 eV/f.u.
* energy above the most stable polymorph in this dataset: 0.00 eV per formula unit
* symmetry: P4/mmm, No. 123

The structure in extended XYZ format:
```
5
Lattice="-0.3899 5.2947 2.0881 -4.2444 -1.6650 3.4291 3.3511 -1.1658 3.5818" Properties=species:S:1:pos:R:3 pbc="T T T"
Li -0.6416 1.2320 4.5495
Hg 1.6756 -0.5829 1.7909
Sr -2.1222 -0.8325 1.7146
Sr -0.1950 2.6474 1.0441
Ni 0.0000 0.0000 0.0000
```

Entry 15:
Computed, not measured: an optimized crystal structure of LiTbNiHg at the GGA-PBE level of DFT.

Properties
* energy relative to the elements: -0.94 eV/f.u.
* symmetry: F-43m, No. 216

The structure in extended XYZ format:
```
4
Lattice="-1.0323 -3.5956 2.8216 0.8489 -4.3917 -1.3953 3.4417 -2.4703 2.0018" Properties=species:S:1:pos:R:3 pbc="T T T"
Ni 0.8146 -2.6144 0.8570
Li 2.4438 -7.8432 2.5711
Hg 1.6292 -5.2288 1.7140
Tb 0.0000 0.0000 0.0000
```

Entry 16:
Computed, not measured: an optimized crystal structure of LiTlNiHg at the GGA-PBE level of DFT.

Properties
* energy relative to the elements: -0.15 eV/f.u.
* symmetry: F-43m, No. 216

The structure in extended XYZ format:
```
4
Lattice="4.6222 0.0000 0.0000 2.3111 4.0030 0.0000 2.3111 1.3343 3.7740" Properties=species:S:1:pos:R:3 pbc="T T T"
Li 6.9334 4.0030 2.8305
Ni 2.3111 1.3343 0.9435
Tl 4.6222 2.6687 1.8870
Hg 0.0000 0.0000 0.0000
```

Entry 17:
Computed, not measured: an optimized crystal structure of LiNiHgW2 at the GGA-PBE level of DFT.

Properties
* energy relative to the elements: 7.94 eV/f.u.
* symmetry: P4/mmm, No. 123

The structure in extended XYZ format:
```
5
Lattice="-0.4238 -4.0158 1.2939 -0.6113 -1.2584 -4.1060 4.1766 -0.5835 -0.4430" Properties=species:S:1:pos:R:3 pbc="T T T"
Ni 1.5707 -2.9289 -1.6276
Hg -0.3057 -0.6292 -2.0530
W 2.0883 -0.2918 -0.2215
W -0.2119 -2.0079 0.6469
Li 0.0000 0.0000 0.0000
```

Entry 18:
Computed, not measured: an optimized crystal structure of LiZrNiHg at the GGA-PBE level of DFT.

Properties
* energy relative to the elements: -0.71 eV/f.u.
* symmetry: F-43m, No. 216

The structure in extended XYZ format:
```
4
Lattice="-2.9110 -3.4232 0.2327 1.5004 -4.1867 0.6829 -0.7559 -2.0469 3.9351" Properties=species:S:1:pos:R:3 pbc="T T T"
Li -0.5416 -2.4142 1.2127
Hg 0.0000 0.0000 0.0000
Zr -1.0832 -4.8284 2.4254
Ni -1.6248 -7.2426 3.6380
```

Entry 19:
Computed, not measured: an optimized crystal structure of LiNpHg2 at the GGA-PBE level of DFT.

Properties
* energy relative to the elements: -0.19 eV/f.u.
* symmetry: P4/mmm, No. 123

The structure in extended XYZ format:
```
4
Lattice="3.1718 0.0000 0.0000 0.0000 3.1718 0.0000 0.0000 0.0000 8.3062" Properties=species:S:1:pos:R:3 pbc="T T T"
Li 1.5859 1.5859 0.0000
Hg 0.0000 0.0000 6.5796
Hg 0.0000 0.0000 1.7266
Np 1.5859 1.5859 4.1531
```

Entry 20:
Computed, not measured: an optimized crystal structure of LiNpHgO5 at the GGA-PBE level of DFT.

Properties
* formation energy without anion corrections: -1.91 eV per atom
* symmetry: C2/c, No. 15

The structure in extended XYZ format:
```
16
Lattice="6.1547 -0.4501 -0.2241 -2.2272 5.7552 -0.2241 -1.8943 -2.5587 7.4442" Properties=species:S:1:pos:R:3 pbc="T T T"
O 5.0257 1.1215 0.7015
O 1.6525 0.7434 0.3983
O 0.3808 2.0030 6.5977
O -2.1758 4.7269 1.6370
O -0.7185 0.5182 4.1204
O 4.2090 -1.9805 5.3590
O 3.3748 -1.1084 2.5725
O 2.7518 2.2282 2.8756
O -1.3415 3.8548 4.4235
O -2.9924 1.6249 6.2945
Np 0.0000 0.0000 0.0000
Np -0.9471 -1.2793 3.7221
Li 3.2840 0.6848 1.6370
Li -1.2508 2.0616 5.3590
Hg 2.0635 -0.3921 5.3590
Hg -0.0303 3.1385 1.6370
```

Entry 21:
Computed, not measured: an optimized crystal structure of Li2NpHgO6 at the GGA-PBE level of DFT.

Properties
* formation energy without anion corrections: -1.60 eV per atom
* symmetry: C2/c, No. 15

The structure in extended XYZ format:
```
20
Lattice="-5.6639 -0.6033 0.7043 -1.6974 -5.6764 -4.0101 -0.6517 -5.4352 4.6062" Properties=species:S:1:pos:R:3 pbc="T T T"
Hg -4.9889 -5.9083 4.3983
Hg -3.0240 -5.8066 -3.0979
O -4.6953 -4.7373 -2.6108
O -3.5762 -4.6951 0.2272
O -4.5533 -7.1923 -1.4047
O -6.8076 -4.9434 -1.1941
O -6.3273 -4.9781 1.2455
O -4.4368 -7.0198 1.0732
O -3.3176 -6.9776 3.9112
O -1.0714 -4.2530 3.5623
O -3.4596 -4.5227 2.7052
O -1.2054 -6.7716 2.4945
O -6.9415 -7.4620 -2.2619
O -1.6857 -6.7368 0.0549
Li -3.2139 -8.0987 -0.2647
Li -2.1778 -3.3632 -0.5230
Li -4.7991 -3.6162 1.5652
Li -5.8351 -8.3518 1.8235
Np -5.5604 -6.0401 -0.3103
Np -2.4526 -5.6748 1.6107
```

Entry 22:
Computed, not measured: an optimized crystal structure of Li2NpHgS4 at the GGA-PBE level of DFT.

Properties
* formation energy without anion corrections: -0.95 eV per atom
* symmetry: P2/m, No. 10

The structure in extended XYZ format:
```
8
Lattice="3.9032 0.0000 0.0000 0.0000 6.6819 0.0092 0.0000 -2.4358 6.2009" Properties=species:S:1:pos:R:3 pbc="T T T"
S 0.0000 0.0133 4.5617
S 1.9516 3.1475 4.7039
S 0.0000 4.2328 1.6483
S 1.9516 1.0986 1.5062
Hg 0.0000 0.0000 0.0000
Li 1.9516 -1.2179 3.1004
Li 0.0000 2.1231 3.1050
Np 1.9516 3.3409 0.0046
```

Entry 23:
Computed, not measured: an optimized crystal structure of Li2NpHgSe4 at the GGA-PBE level of DFT.

Properties
* formation energy without anion corrections: -0.86 eV per atom
* symmetry: P2/m, No. 10

The structure in extended XYZ format:
```
8
Lattice="4.0688 0.0000 0.0000 0.0000 7.0257 0.0083 0.0000 -2.5550 6.4810" Properties=species:S:1:pos:R:3 pbc="T T T"
Li 2.0344 -1.2775 3.2405
Li 0.0000 2.2353 3.2447
Hg 0.0000 0.0000 0.0000
Se 2.0344 1.1391 1.5712
Se 0.0000 0.0118 4.7445
Se 0.0000 4.4589 1.7448
Se 2.0344 3.3316 4.9181
Np 2.0344 3.5128 0.0042
```